The following is a DFT calculation (PBE) of a geometry-optimized LaMn2POs structure.

Computed properties:
total magnetization	3.784	μB per formula unit
E_tot	-5.7378	eV/atom

a = 4.542 Å, b = 5.099 Å, c = 4.542 Å
α = 90.00°, β = 90.00°, γ = 90.00°
Each line ends with the local moment (μB).
Atoms (fractional coordinates):
P  0.000  0.500  0.000  0.05
Mn  0.000  0.000  0.500  2.53
Mn  0.500  0.000  0.000  2.90
Os  0.500  0.500  0.500  -1.67
La  0.000  0.000  0.000  -0.09

The following is a DFT calculation (PBE) of a geometry-optimized GdPaNi2 structure.

Computed properties:
total magnetization	7.293	μB per formula unit
E_tot	-9.0777	eV/atom

a = 3.419 Å, b = 3.419 Å, c = 6.811 Å
α = 90.00°, β = 90.00°, γ = 90.00°
Each line ends with the local moment (μB).
Atoms (fractional coordinates):
Gd  0.500  0.500  0.500  7.10
Ni  0.000  0.000  0.800  0.00
Ni  0.000  0.000  0.200  0.00
Pa  0.500  0.500  0.000  0.02

Which of these has the lowest total magnetization?
LaMn2POs